Record 1
SmThAlHg: optimized geometry, PBE.

Properties
The calculation puts the formation energy at -0.28 eV per atom. As for the space-group type: F-43m. Its magnetic moment is 0.000 μB per cell.

Lattice parameters (Å, degrees): 5.3349 5.3349 5.3349 60.00 60.00 60.00
Closest atoms and distances in Å follow each position.
Element x y z (fractional)
Sm 0.0000 0.0000 0.0000  4 Hg 3.27, 4 Al 3.27
Th 0.5000 0.5000 0.5000  4 Hg 3.27, 4 Al 3.27
Al 0.7500 0.7500 0.7500  4 Th 3.27, 4 Sm 3.27
Hg 0.2500 0.2500 0.2500  4 Th 3.27, 4 Sm 3.27



Record 2
Tl5SnHg5: optimized geometry, PBE.

Properties
The calculation puts the formation energy at 0.05 eV per atom. The energy above the lowest structure with this stoichiometry is 0.09 eV/f.u. As for the space-group type: C2/m. Its magnetic moment is 0.000 μB per cell.

Lattice parameters (Å, degrees): 6.7374 6.7374 10.2176 113.22 113.22 54.01
Closest atoms and distances in Å follow each position.
Element x y z (fractional)
Tl 0.0000 0.0000 0.0000  2 Hg 3.09, 2 Tl 3.44
Tl 0.3191 0.3191 0.1528  5 Hg 3.08-3.30, 2 Tl 3.33-3.44
Tl 0.3763 0.3763 0.7484  5 Hg 3.12-3.46, 1 Tl 3.33
Tl 0.6237 0.6237 0.2516  5 Hg 3.12-3.46, 1 Tl 3.33
Tl 0.6809 0.6809 0.8472  5 Hg 3.08-3.30, 2 Tl 3.33-3.44
Sn 0.0000 0.0000 0.5000  6 Hg 2.94-3.08
Hg 0.1486 0.1486 0.8186  1 Sn 2.94, 5 Tl 3.08-3.12
Hg 0.1982 0.1982 0.3863  1 Sn 3.08, 1 Hg 3.28, 4 Tl 3.30-3.36
Hg 0.5000 0.5000 0.5000  2 Sn 3.06, 2 Tl 3.24, 2 Hg 3.28
Hg 0.8018 0.8018 0.6137  1 Sn 3.08, 1 Hg 3.28, 4 Tl 3.30-3.36
Hg 0.8514 0.8514 0.1814  1 Sn 2.94, 5 Tl 3.08-3.12



Record 3
Er5IrPd2: optimized geometry, PBE.

Properties
The calculation puts the formation energy at -0.73 eV per atom. As for the space-group type: I4/mcm. Its magnetic moment is 0.000 μB per cell.

Lattice parameters (Å, degrees): 8.9495 8.9495 8.9495 133.03 133.03 68.61
Closest atoms and distances in Å follow each position.
Element x y z (fractional)
Er 0.0000 0.0000 0.0000  4 Pd 2.78
Er 0.0217 0.5217 0.8454  3 Pd 2.97-3.13, 2 Ir 3.02, 1 Er 3.32
Er 0.1763 0.0217 0.5000  3 Pd 2.97-3.13, 2 Ir 3.02, 1 Er 3.32
Er 0.3237 0.8237 0.8454  3 Pd 2.97-3.13, 2 Ir 3.02, 1 Er 3.32
Er 0.4783 0.3237 0.5000  3 Pd 2.97-3.13, 2 Ir 3.02, 1 Er 3.32
Er 0.5000 0.5000 0.0000  4 Pd 2.78
Er 0.5217 0.6763 0.5000  3 Pd 2.97-3.13, 2 Ir 3.02, 1 Er 3.32
Er 0.6763 0.1763 0.1546  3 Pd 2.97-3.13, 2 Ir 3.02, 1 Er 3.32
Er 0.8237 0.9783 0.5000  3 Pd 2.97-3.13, 2 Ir 3.02, 1 Er 3.32
Er 0.9783 0.4783 0.1546  3 Pd 2.97-3.13, 2 Ir 3.02, 1 Er 3.32
Ir 0.2500 0.2500 0.0000  8 Er 3.02
Ir 0.7500 0.7500 0.0000  8 Er 3.02
Pd 0.1332 0.3668 0.5000  1 Pd 2.69, 4 Er 2.78-2.97
Pd 0.3668 0.8668 0.2336  1 Pd 2.69, 4 Er 2.78-2.97
Pd 0.6332 0.1332 0.7664  1 Pd 2.69, 4 Er 2.78-2.97
Pd 0.8668 0.6332 0.5000  1 Pd 2.69, 4 Er 2.78-2.97



Record 4
SrZr2Ga: optimized geometry, PBE.

Properties
The calculation puts the formation energy at 0.54 eV per atom. As for the space-group type: I-42d. Its magnetic moment is 0.000 μB per cell.

Lattice parameters (Å, degrees): 10.8719 10.8719 10.8719 153.12 153.12 38.38
Closest atoms and distances in Å follow each position.
Element x y z (fractional)
Sr 0.0000 0.0000 0.0000  4 Ga 3.57, 8 Zr 3.70-3.94
Sr 0.7500 0.2500 0.5000  4 Ga 3.57, 8 Zr 3.70-3.94
Zr 0.3390 0.6250 0.2140  2 Zr 2.55
Zr 0.3750 0.5890 0.7140  2 Zr 2.55
Zr 0.4110 0.1250 0.7860  2 Zr 2.55
Zr 0.8750 0.6610 0.2860  2 Zr 2.55
Ga 0.2500 0.7500 0.5000  4 Zr 2.87
Ga 0.5000 0.5000 0.0000  4 Zr 2.87



Record 5
SrTeSe2: optimized geometry, PBE.

Properties
The calculation puts the uncorrected formation energy at -834 meV/atom. As for the space-group type: Cmcm. Its magnetic moment is 0.000 μB per cell.

Lattice parameters (Å, degrees): 7.4824 7.4824 6.5320 90.00 90.00 135.94
Closest atoms and distances in Å follow each position.
Element x y z (fractional)
Sr 0.0842 0.9158 0.7500  7 Se 3.15-3.45, 1 Te 3.50
Sr 0.9158 0.0842 0.2500  7 Se 3.15-3.45, 1 Te 3.50
Te 0.3365 0.6635 0.7500  4 Se 2.80-2.82
Te 0.6635 0.3365 0.2500  4 Se 2.80-2.82
Se 0.1432 0.8568 0.2500  2 Te 2.82, 1 Sr 3.15
Se 0.5000 0.5000 0.0000  2 Te 2.80
Se 0.5000 0.5000 0.5000  2 Te 2.80
Se 0.8568 0.1432 0.7500  2 Te 2.82, 1 Sr 3.15



Calculated total energy
In order: -4.33; -1.53; -5.99; -4.92; -3.78
Unit: eV/atom
Density of states at the Fermi level
In order: 3.5; 4.4; 12.6; 7.6; 2.3
Unit: states/eV per cell
Theoretical density
In order: 9.434; 10.577; 10.960; 4.302; 4.873
Unit: g/cm3